Density functional theory data (PBE) for a geometry-optimized ScCdOs2 structure.

Cell and atoms, written as extended XYZ:
```
8
Lattice="-0.9604 3.3295 -2.1400 -2.5702 1.1499 2.9426 5.3053 7.0423 4.7003" Properties=species:S:1:pos:R:3 pbc="T T T"
Os -0.4856 3.1919 2.5562
Os 0.4903 3.6888 0.3960
Os 1.1185 9.0988 3.9655
Os 2.4261 7.0639 4.0883
Cd 0.0000 0.0000 0.0000
Cd 1.2898 6.3058 1.4808
Sc -1.7653 2.2397 0.4013
Sc 0.4849 5.2160 4.0221
```

Computed properties:
Crystal system: tetragonal
Density, g cm⁻³: 11.25
Total energy, eV/atom: -6.84
DOS at the Fermi energy, states/eV/atom: 0.899

---

Density functional theory data (PBE) for a geometry-optimized ScCdOs2 structure.

Cell and atoms, written as extended XYZ:
```
4
Lattice="4.5372 0.0000 0.0000 0.0000 2.8355 0.0006 0.0000 0.5743 5.2743" Properties=species:S:1:pos:R:3 pbc="T T T"
Os 0.0000 0.0585 0.1594
Os 0.0000 1.6464 2.4780
Sc 2.2686 0.8524 1.3187
Cd 2.2686 2.5573 3.9562
```

Computed properties:
Crystal system: monoclinic
Density, g cm⁻³: 13.16
Total energy, eV/atom: -7.16
DOS at the Fermi energy, states/eV/atom: 0.788

---

Density functional theory data (PBE) for a geometry-optimized ScCdOs2 structure.

Cell and atoms, written as extended XYZ:
```
4
Lattice="5.4436 0.0695 0.1715 4.6210 2.8781 0.1715 1.7251 0.5052 4.5470" Properties=species:S:1:pos:R:3 pbc="T T T"
Sc 5.9378 1.7390 2.1687
Cd 8.7774 2.5706 3.9706
Os 11.4875 3.3643 4.6551
Os 3.2716 0.9582 1.4307
```

Computed properties:
Crystal system: monoclinic
Density, g cm⁻³: 12.97
Total energy, eV/atom: -7.28
DOS at the Fermi energy, states/eV/atom: 0.936

---

Density functional theory data (PBE) for a geometry-optimized ScCdOs2 structure.

Cell and atoms, written as extended XYZ:
```
4
Lattice="2.8075 0.0028 0.0000 -1.0869 2.5885 0.0000 0.0000 0.0000 9.2205" Properties=species:S:1:pos:R:3 pbc="T T T"
Os 0.0000 0.0000 4.4854
Os 0.0000 0.0000 0.1248
Sc 0.8603 1.2957 2.3051
Cd 0.8603 1.2957 6.9154
```

Computed properties:
Crystal system: orthorhombic
Density, g cm⁻³: 13.32
Total energy, eV/atom: -7.15
DOS at the Fermi energy, states/eV/atom: 0.817